No. 1
Computed, not measured: crystalline FeC2N2 at its relaxed geometry at the GGA-PBE level of DFT.

The total magnetic moment is 8.0 Bohr magnetons per cell. The total energy is -8.25 eV per atom.

Unit cell a=5.818 b=5.818 c=5.818 alpha=90.00 beta=90.00 gamma=90.00
Space group P-43m (No. 215)
Inequivalent atoms, fractional coordinates:
1 Fe 0.000 0.000 0.000 [1 per cell]
2 Fe 0.500 0.500 0.500 [1 per cell]
3 C 0.193 0.193 0.193 [4 per cell]
4 N 0.310 0.310 0.310 [4 per cell]

No. 2
Computed, not measured: crystalline Nb4Fe2CN at its relaxed geometry at the GGA-PBE level of DFT.

The total magnetic moment is 3.6 Bohr magnetons per cell. The total energy is -9.56 eV per atom.

Unit cell a=3.0960 b=3.0960 c=13.1091 alpha=90.00 beta=90.00 gamma=120.00
Space group P-3m1 (No. 164)
Inequivalent atoms, fractional coordinates:
1 Nb 0.3333 0.6667 0.0976 [2 per cell]
2 Nb 0.3333 0.6667 0.4034 [2 per cell]
3 Fe 0.3333 0.6667 0.7484 [2 per cell]
4 C 0.0000 0.0000 0.0000 [1 per cell]
5 N 0.0000 0.0000 0.5000 [1 per cell]

No. 3
Computed, not measured: crystalline FeNi2C6N6 at its relaxed geometry at the GGA-PBE level of DFT.

The total magnetic moment is 0.4 Bohr magnetons per cell. The total energy is -7.62 eV per atom.

Unit cell a=9.899 b=9.899 c=9.899 alpha=90.00 beta=90.00 gamma=90.00
Space group F-43m (No. 216)
Inequivalent atoms, fractional coordinates:
1 Fe 0.000 0.000 0.000 [4 per cell]
2 Ni 0.000 0.000 0.500 [4 per cell]
3 Ni 0.250 0.250 0.750 [4 per cell]
4 C 0.000 0.000 0.187 [24 per cell]
5 N 0.000 0.000 0.306 [24 per cell]

No. 4
Computed, not measured: crystalline FePb2C6N6 at its relaxed geometry at the GGA-PBE level of DFT.

The total magnetic moment is 0.0 Bohr magnetons per cell. The total energy is -7.86 eV per atom.

Unit cell a=7.0784 b=7.0784 c=5.4222 alpha=90.00 beta=90.00 gamma=120.00
Space group P-3 (No. 147)
Inequivalent atoms, fractional coordinates:
1 Fe 0.0000 0.0000 0.0000 [1 per cell]
2 Pb 0.3333 0.6667 0.6053 [2 per cell]
3 C 0.0625 0.2419 0.1923 [6 per cell]
4 N 0.0933 0.3973 0.3064 [6 per cell]

No. 5
Computed, not measured: crystalline Fe2Pt3C12N12 at its relaxed geometry at the GGA-PBE level of DFT.

The total magnetic moment is 4.0 Bohr magnetons per cell. The total energy is -8.18 eV per atom.

Unit cell a=14.821 b=13.220 c=7.155 alpha=90.00 beta=103.62 gamma=90.00
Space group C2/m (No. 12)
Inequivalent atoms, fractional coordinates:
1 Fe 0.250 0.250 0.000 [4 per cell]
2 Pt 0.000 0.000 0.000 [2 per cell]
3 Pt 0.184 0.500 0.473 [4 per cell]
4 C 0.089 0.107 0.977 [8 per cell]
5 C 0.186 0.395 0.669 [8 per cell]
6 C 0.196 0.396 0.283 [8 per cell]
7 N 0.142 0.171 0.971 [8 per cell]
8 N 0.197 0.335 0.791 [8 per cell]
9 N 0.210 0.338 0.170 [8 per cell]

No. 6
Computed, not measured: crystalline Sc3FeCN at its relaxed geometry at the GGA-PBE level of DFT.

The total magnetic moment is 3.6 Bohr magnetons per cell. The total energy is -8.11 eV per atom.

Unit cell a=3.2034 b=3.2034 c=19.0717 alpha=90.00 beta=90.00 gamma=120.00
Space group P-3m1 (No. 164)
Inequivalent atoms, fractional coordinates:
1 Sc 0.0000 0.0000 0.0000 [1 per cell]
2 Sc 0.0000 0.0000 0.5000 [1 per cell]
3 Sc 0.3333 0.6667 0.1337 [2 per cell]
4 Sc 0.3333 0.6667 0.3632 [2 per cell]
5 Fe 0.0000 0.0000 0.2444 [2 per cell]
6 C 0.3333 0.6667 0.5757 [2 per cell]
7 N 0.3333 0.6667 0.9305 [2 per cell]